Computed, not measured: a geometry-optimized LiYMnFe2 structure at the PBE-GGA level of DFT.

Values from the calculation:
Electronic total energy: -6.3708 eV per atom
Volume: 16.13 A^3/atom
Calculated formation energy: 0.524 eV/atom
Symmetry: P4/mmm, No. 123

Geometry as extended XYZ:
```
5
Lattice="4.2430 0.0000 0.0000 0.0000 4.2430 0.0000 0.0000 0.0000 4.4792" Properties=species:S:1:pos:R:3 pbc="T T T"
Li 0.0000 0.0000 0.0000
Y 2.1215 2.1215 0.0000
Mn 0.0000 0.0000 2.2396
Fe 0.0000 2.1215 2.2396
Fe 2.1215 0.0000 2.2396
```

Computed, not measured: a geometry-optimized LiMnZn2Fe structure at the PBE-GGA level of DFT.

Values from the calculation:
Electronic total energy: -3.4022 eV per atom
Volume: 18.70 A^3/atom
Calculated formation energy: 1.017 eV/atom
Symmetry: P4/mmm, No. 123

Geometry as extended XYZ:
```
5
Lattice="4.6180 0.0000 0.0000 0.0000 4.6180 0.0000 0.0000 0.0000 4.3844" Properties=species:S:1:pos:R:3 pbc="T T T"
Li 0.0000 0.0000 0.0000
Mn 0.0000 0.0000 2.1922
Zn 0.0000 2.3090 2.1922
Zn 2.3090 0.0000 2.1922
Fe 2.3090 2.3090 0.0000
```

Computed, not measured: a geometry-optimized LiFe2Mo2 structure at the PBE-GGA level of DFT.

Values from the calculation:
Electronic total energy: -7.8554 eV per atom
Volume: 13.88 A^3/atom
Calculated formation energy: 0.245 eV/atom
Symmetry: P4/mbm, No. 127
Energy above the most stable polymorph in this dataset: 0 meV/atom

Geometry as extended XYZ:
```
10
Lattice="7.1342 0.0000 0.0000 0.0000 7.1342 0.0000 0.0000 0.0000 2.7261" Properties=species:S:1:pos:R:3 pbc="T T T"
Li 0.0000 0.0000 0.0000
Li 3.5671 3.5671 0.0000
Fe 0.9710 2.5961 0.0000
Fe 2.5961 6.1632 0.0000
Fe 4.5381 0.9710 0.0000
Fe 6.1632 4.5381 0.0000
Mo 1.1384 4.7055 1.3631
Mo 2.4287 1.1384 1.3631
Mo 4.7055 5.9959 1.3631
Mo 5.9959 2.4287 1.3631
```

Computed, not measured: a geometry-optimized LiFe4Mo structure at the PBE-GGA level of DFT.

Values from the calculation:
Electronic total energy: -7.6500 eV per atom
Volume: 12.22 A^3/atom
Calculated formation energy: 0.116 eV/atom
Symmetry: F-43m, No. 216

Geometry as extended XYZ:
```
6
Lattice="0.0000 3.3216 3.3216 3.3216 0.0000 3.3216 3.3216 3.3216 0.0000" Properties=species:S:1:pos:R:3 pbc="T T T"
Li 0.0000 0.0000 0.0000
Fe 2.4892 2.4892 2.4892
Fe 4.1541 4.1541 2.4892
Fe 4.1541 2.4892 4.1541
Fe 2.4892 4.1541 4.1541
Mo 4.9824 4.9824 4.9824
```

Computed, not measured: a geometry-optimized LiFeMo2 structure at the PBE-GGA level of DFT.

Values from the calculation:
Electronic total energy: -7.7151 eV per atom
Volume: 14.04 A^3/atom
Calculated formation energy: 0.295 eV/atom
Symmetry: P2/m, No. 10
Energy above the most stable polymorph in this dataset: 63 meV/atom

Geometry as extended XYZ:
```
4
Lattice="2.5658 0.0000 0.0000 0.0000 4.3328 0.0000 -1.0559 0.0000 5.0500" Properties=species:S:1:pos:R:3 pbc="T T T"
Li 0.0000 0.0000 0.0000
Fe 0.7550 0.0000 2.5250
Mo -0.1872 2.1664 3.7708
Mo 1.6972 2.1664 1.2793
```

Computed, not measured: a geometry-optimized LiFeMo2 structure at the PBE-GGA level of DFT.

Values from the calculation:
Electronic total energy: -7.6548 eV per atom
Volume: 14.13 A^3/atom
Calculated formation energy: 0.355 eV/atom
Symmetry: Cm, No. 8
Energy above the most stable polymorph in this dataset: 123 meV/atom

Geometry as extended XYZ:
```
4
Lattice="4.4269 -1.2786 0.0000 4.4269 1.2786 0.0000 -0.3494 0.0000 4.9918" Properties=species:S:1:pos:R:3 pbc="T T T"
Li 0.0000 0.0000 0.0000
Fe 6.5158 0.0000 1.1834
Mo 1.9354 0.0000 3.7694
Mo 4.1564 0.0000 2.4441
```

Computed, not measured: a geometry-optimized LiFeMo2 structure at the PBE-GGA level of DFT.

Values from the calculation:
Electronic total energy: -7.6377 eV per atom
Volume: 14.20 A^3/atom
Calculated formation energy: 0.372 eV/atom
Symmetry: Pmm2, No. 25
Energy above the most stable polymorph in this dataset: 140 meV/atom

Geometry as extended XYZ:
```
4
Lattice="2.5249 0.0000 0.0000 0.0000 4.1874 0.0000 0.0000 0.0000 5.3709" Properties=species:S:1:pos:R:3 pbc="T T T"
Li 0.0000 0.0000 0.0000
Fe 1.2624 2.0937 4.1504
Mo 0.0000 0.0000 2.7708
Mo 1.2624 2.0937 1.3270
```

Computed, not measured: a geometry-optimized LiFeMo2 structure at the PBE-GGA level of DFT.

Values from the calculation:
Electronic total energy: -7.6307 eV per atom
Volume: 13.71 A^3/atom
Calculated formation energy: 0.379 eV/atom
Symmetry: P4/mmm, No. 123
Energy above the most stable polymorph in this dataset: 147 meV/atom

Geometry as extended XYZ:
```
4
Lattice="3.7755 0.0000 0.0000 0.0000 3.7755 0.0000 0.0000 0.0000 3.8474" Properties=species:S:1:pos:R:3 pbc="T T T"
Li 0.0000 0.0000 0.0000
Fe 1.8878 1.8878 0.0000
Mo 0.0000 1.8878 1.9237
Mo 1.8878 0.0000 1.9237
```

Computed, not measured: a geometry-optimized LiFeMo2 structure at the PBE-GGA level of DFT.

Values from the calculation:
Electronic total energy: -7.5555 eV per atom
Volume: 13.19 A^3/atom
Calculated formation energy: 0.454 eV/atom
Symmetry: Fm-3m, No. 225
Energy above the most stable polymorph in this dataset: 223 meV/atom

Geometry as extended XYZ:
```
4
Lattice="0.0000 2.9768 2.9768 2.9768 0.0000 2.9768 2.9768 2.9768 0.0000" Properties=species:S:1:pos:R:3 pbc="T T T"
Li 0.0000 0.0000 0.0000
Fe 2.9768 2.9768 2.9768
Mo 1.4884 1.4884 1.4884
Mo 4.4653 4.4653 4.4653
```

Computed, not measured: a geometry-optimized LiFeMo2 structure at the PBE-GGA level of DFT.

Values from the calculation:
Electronic total energy: -7.6472 eV per atom
Volume: 14.66 A^3/atom
Calculated formation energy: 0.363 eV/atom
Symmetry: P4/mmm, No. 123
Energy above the most stable polymorph in this dataset: 131 meV/atom

Geometry as extended XYZ:
```
4
Lattice="2.6396 0.0000 0.0000 0.0000 2.6396 0.0000 0.0000 0.0000 8.4134" Properties=species:S:1:pos:R:3 pbc="T T T"
Li 0.0000 0.0000 0.0000
Fe 0.0000 0.0000 4.2067
Mo 1.3198 1.3198 2.3874
Mo 1.3198 1.3198 6.0260
```

Computed, not measured: a geometry-optimized Li4FeMo structure at the PBE-GGA level of DFT.

Values from the calculation:
Electronic total energy: -3.9186 eV per atom
Volume: 13.12 A^3/atom
Calculated formation energy: 0.573 eV/atom
Symmetry: F-43m, No. 216

Geometry as extended XYZ:
```
6
Lattice="0.0000 3.4019 3.4019 3.4019 0.0000 3.4019 3.4019 3.4019 0.0000" Properties=species:S:1:pos:R:3 pbc="T T T"
Li 2.5562 2.5562 2.5562
Li 4.2476 4.2476 2.5562
Li 4.2476 2.5562 4.2476
Li 2.5562 4.2476 4.2476
Fe 5.1029 5.1029 5.1029
Mo 0.0000 0.0000 0.0000
```

Computed, not measured: a geometry-optimized LiFeMo2 structure at the PBE-GGA level of DFT.

Values from the calculation:
Electronic total energy: -7.6139 eV per atom
Volume: 13.82 A^3/atom
Calculated formation energy: 0.396 eV/atom
Symmetry: P4mm, No. 99
Energy above the most stable polymorph in this dataset: 164 meV/atom

Geometry as extended XYZ:
```
4
Lattice="2.8100 0.0000 0.0000 0.0000 2.8100 0.0000 0.0000 0.0000 6.9990" Properties=species:S:1:pos:R:3 pbc="T T T"
Li 0.0000 0.0000 0.0000
Fe 1.4050 1.4050 5.4742
Mo 0.0000 0.0000 4.0807
Mo 1.4050 1.4050 1.9086
```

Question: Among the records above, which one has the highest calculated formation energy?
Answer: LiMnZn2Fe